# NpSeO

A relaxed NpSeO crystal (GGA-PBE, the Alexandria database).

Computed properties:
- space-group type = No. 166
- final energy (eV per atom) = -9.22
- DOS at the Fermi energy (states/eV per cell) = 11.86
- distance to the lowest polymorph of the same formula (meV/atom) = 69.3
- E_form (uncorrected) (eV/atom) = -2.09

Cell lengths 3.8743, 3.8743, 10.3649 Å; angles 79.23, 79.23, 60.00 degrees
Last column: nearest neighbours and their distance in Å.
Fractional positions:
1 Se 0.3938 0.3938 0.8185  3 Np 2.82
2 Se 0.6062 0.6062 0.1815  3 Np 2.82
3 Np 0.2160 0.2160 0.3520  4 O 2.31-2.34
4 Np 0.7840 0.7840 0.6480  4 O 2.31-2.34
5 O 0.1399 0.1399 0.5803  4 Np 2.31-2.34
6 O 0.8601 0.8601 0.4197  4 Np 2.31-2.34